1.
A plane-wave DFT calculation with PBE was carried out for a relaxed ZrTaTc2 crystal.

Cell: 5.9234 5.9234 5.9234 Å, 152.22 130.54 57.67°
Atoms (fractional coordinates):
Zr1 0.0000 0.0000 0.0000
Ta1 0.5000 0.5000 0.0000
Tc1 0.2613 0.2613 0.0000
Tc2 0.7387 0.7387 0.0000

Properties
**Final energy**: -9.640 eV/atom
**Total moment**: 0.00 μB/cell
**Calculated formation energy**: 0.64 eV/atom

=====

2.
A plane-wave DFT calculation with PBE was carried out for a relaxed NaInSe2 crystal.

Cell: 7.5964 7.5964 7.5964 Å, 30.63 30.63 30.63°
Atoms (fractional coordinates):
Na1 0.0000 0.0000 0.0000
In1 0.1677 0.1677 0.1677
Se1 0.5734 0.5734 0.5734
Se2 0.7617 0.7617 0.7617

Properties
**Final energy**: -3.538 eV/atom
**ΔE_f (raw)**: -75.4 kJ per mole of atoms
**Total moment**: 0.00 μB/cell

=====

3.
A plane-wave DFT calculation with PBE was carried out for a relaxed Cu3Ge crystal.

Cell: 2.7145 2.7145 8.4234 Å, 90.00 90.00 120.00°
Atoms (fractional coordinates):
Cu1 0.0000 0.0000 0.0000
Cu2 0.6667 0.3333 0.2398
Cu3 0.6667 0.3333 0.7602
Ge1 0.0000 0.0000 0.5000

Properties
**Final energy**: -4.101 eV/atom
**Total moment**: 0.00 μB/cell
**Calculated formation energy**: 0.13 eV/atom

=====

4.
A plane-wave DFT calculation with PBE was carried out for a relaxed KHfBi2 crystal.

Cell: 5.4687 5.4687 5.4687 Å, 60.00 60.00 60.00°
Atoms (fractional coordinates):
K1 0.0000 0.0000 0.0000
Hf1 0.5000 0.5000 0.5000
Bi1 0.2500 0.2500 0.2500
Bi2 0.7500 0.7500 0.7500

Properties
**Final energy**: -4.572 eV/atom
**Total moment**: 0.00 μB/cell
**Calculated formation energy**: 0.13 eV/atom
**E above lowest polymorph**: 337 meV/atom

=====

5.
A plane-wave DFT calculation with PBE was carried out for a relaxed Rb3NpU2Te6 crystal.

Cell: 7.8791 7.8791 8.9934 Å, 98.40 98.40 120.00°
Atoms (fractional coordinates):
Rb1 0.0000 0.0000 0.0000
Rb2 0.3337 0.6663 0.0000
Rb3 0.6663 0.3337 0.0000
Np1 0.5000 0.5000 0.5000
U1 0.1667 0.8333 0.5000
U2 0.8333 0.1667 0.5000
Te1 0.0970 0.4326 0.2979
Te2 0.2317 0.2317 0.7020
Te3 0.4326 0.0970 0.2979
Te4 0.5674 0.9030 0.7021
Te5 0.7683 0.7683 0.2980
Te6 0.9030 0.5674 0.7021

Properties
**Final energy**: -5.626 eV/atom
**ΔE_f (raw)**: -82.3 kJ per mole of atoms
**Total moment**: 10.00 μB/cell

=====

6.
A plane-wave DFT calculation with PBE was carried out for a relaxed RbH2Br crystal.

Cell: 4.7982 4.9039 8.7531 Å, 90.00 90.03 90.00°
Atoms (fractional coordinates):
Rb1 0.2483 0.2500 0.1975
Rb2 0.7517 0.7500 0.8025
H1 0.2513 0.6731 0.5368
H2 0.2513 0.8269 0.5368
H3 0.7487 0.1731 0.4632
H4 0.7487 0.3269 0.4632
Br1 0.2516 0.2500 0.8052
Br2 0.7484 0.7500 0.1948

Properties
**Final energy**: -3.196 eV/atom
**Total moment**: 0.00 μB/cell
**E above lowest polymorph**: 0 meV/atom